# 1
Below is a relaxed TmHI crystal, with properties calculated at the PBE-GGA level.

Calculated total energy, eV/atom: -3.736
DOS at the Fermi energy, states/eV/f.u.: 0.86
Density, g cm⁻³: 7.43
Crystal system: monoclinic
Space group: No. 12

Lattice parameters (Å, degrees): 3.7995 6.2262 5.8865 90.10 90.00 107.77
Fractional positions:
Tm  0.8256  0.6512  0.7512
Tm  0.1744  0.3488  0.2488
H  0.3959  0.7917  0.7522
H  0.6041  0.2083  0.2478
I  0.1194  0.2388  0.7485
I  0.8806  0.7612  0.2515

# 2
Below is a relaxed CuAgAsPt crystal, with properties calculated at the PBE-GGA level.

Calculated formation energy, eV/atom: 0.035
Calculated total energy, eV/atom: -4.375
DOS at the Fermi energy, states/eV/f.u.: 1.17
Density, g cm⁻³: 11.55
Crystal system: cubic
Space group: No. 216

Lattice parameters (Å, degrees): 4.4766 4.4766 4.4766 60.00 60.00 60.00
Fractional positions:
Cu  0.5000  0.5000  0.5000
Pt  0.7500  0.7500  0.7500
Ag  0.2500  0.2500  0.2500
As  0.0000  0.0000  0.0000

# 3
Below is a relaxed CsZn2AgF8 crystal, with properties calculated at the PBE-GGA level.

Calculated total energy, eV/atom: -3.627
Density, g cm⁻³: 3.65
Crystal system: trigonal
Space group: No. 155
ΔE_f (raw), meV per atom: -1858

Lattice parameters (Å, degrees): 5.5573 5.5573 9.4738 72.94 72.94 60.00
Each line ends with the local moment (μB).
Fractional positions:
F  0.7122  0.4982  0.6574  0.14
F  0.2878  0.8678  0.3426  0.14
F  0.1322  0.7122  0.6574  0.14
F  0.6861  0.6861  0.9418  0.04
F  0.3139  0.3139  0.0582  0.04
F  0.4982  0.1322  0.6574  0.14
F  0.5018  0.2878  0.3426  0.14
F  0.8678  0.5018  0.3426  0.14
Cs  0.0000  0.0000  0.0000  0.00
Ag  0.5000  0.5000  0.5000  0.78
Zn  0.7555  0.7555  0.7335  0.05
Zn  0.2445  0.2445  0.2665  0.05